## CrCd2AsO6 (PBE+U)

Data for a relaxed structure of CrCd2AsO6.

Geometry as CIF:
```
data_CrCd2AsO6
_chemical_formula_sum 'Cr1 Cd2 As1 O6'
_cell_length_a 5.180
_cell_length_b 5.180
_cell_length_c 4.662
_cell_angle_alpha 90.00
_cell_angle_beta 90.00
_cell_angle_gamma 90.00
_symmetry_space_group_name_H-M 'P 4 m m'
_symmetry_Int_Tables_number 99
_symmetry_space_group_name_Hall 'P 4 -2'
loop_
_atom_site_label
_atom_site_fract_x
_atom_site_fract_y
_atom_site_fract_z
Cr1 0.000 0.000 0.000
Cd1 0.000 0.500 0.435
As1 0.500 0.500 0.993
O1 0.000 0.000 0.589
O2 0.262 0.262 0.105
O3 0.500 0.500 0.620
```

Summary:
Total DFT energy (no corrections) (eV per atom): -5.5234